# 1
# Si5W3Au

An optimized crystal structure of Si5W3Au (PBE, OQMD).

Values from the calculation:
- Raw total energy: -7.40 eV per atom
- Symmetry: P6/mmm

Structure (CIF):
```
data_Si5W3Au
_cell_length_a 5.386
_cell_length_b 5.386
_cell_length_c 6.381
_cell_angle_alpha 90.00
_cell_angle_beta 90.00
_cell_angle_gamma 120.00
_symmetry_space_group_name_H-M 'P 1'
_symmetry_Int_Tables_number 1
_symmetry_space_group_name_Hall 'P 1'
loop_
_atom_site_label
_atom_site_fract_x
_atom_site_fract_y
_atom_site_fract_z
Au1 0.000 0.000 0.000
Si1 0.667 0.333 0.181
Si2 0.333 0.667 0.181
Si3 0.000 0.000 0.500
Si4 0.667 0.333 0.819
Si5 0.333 0.667 0.819
W1 0.500 0.000 0.500
W2 0.000 0.500 0.500
W3 0.500 0.500 0.500
```

---

# 2
# TmSbIr

An optimized crystal structure of TmSbIr (PBE, OQMD).

Values from the calculation:
- Raw total energy: -6.59 eV per atom
- Symmetry: P-62m

Structure (CIF):
```
data_TmSbIr
_cell_length_a 6.950
_cell_length_b 6.950
_cell_length_c 4.401
_cell_angle_alpha 90.00
_cell_angle_beta 90.00
_cell_angle_gamma 120.00
_symmetry_space_group_name_H-M 'P 1'
_symmetry_Int_Tables_number 1
_symmetry_space_group_name_Hall 'P 1'
loop_
_atom_site_label
_atom_site_fract_x
_atom_site_fract_y
_atom_site_fract_z
Ir1 0.240 0.000 0.000
Ir2 0.000 0.240 0.000
Ir3 0.760 0.760 0.000
Sb1 0.667 0.333 0.000
Sb2 0.333 0.667 0.000
Sb3 0.000 0.000 0.500
Tm1 0.566 0.000 0.500
Tm2 0.434 0.434 0.500
Tm3 0.000 0.566 0.500
```